[1]
! SrSeI2O, optimized geometry, DFT PBE; values from VASP
! - symmetry = P4/mmm (123)
! - excess energy over the best structure of this formula in the dataset (kJ/mol of formula units) = 176
&SYSTEM
  ibrav = 0, nat = 5, ntyp = 4
/
ATOMIC_SPECIES
Sr 87.62 Sr.upf
Se 78.96 Se.upf
I 126.90 I.upf
O 16.00 O.upf
CELL_PARAMETERS angstrom
6.642 0.000 0.000
0.000 6.642 0.000
0.000 0.000 4.399
ATOMIC_POSITIONS crystal
Sr 0.000 0.000 0.000
Se 0.500 0.500 0.500
I 0.000 0.500 0.000
I 0.500 0.000 0.000
O 0.000 0.000 0.500

=====

[2]
! SrSeI2O, optimized geometry, DFT PBE; values from VASP
! - symmetry = P4/mmm (123)
! - excess energy over the best structure of this formula in the dataset (kJ/mol of formula units) = 0
&SYSTEM
  ibrav = 0, nat = 5, ntyp = 4
/
ATOMIC_SPECIES
Sr 87.62 Sr.upf
Se 78.96 Se.upf
I 126.90 I.upf
O 16.00 O.upf
CELL_PARAMETERS angstrom
6.043 0.000 0.000
0.000 6.043 0.000
0.000 0.000 3.992
ATOMIC_POSITIONS crystal
Sr 0.000 0.000 0.000
Se 0.500 0.500 0.500
I 0.000 0.500 0.500
I 0.500 0.000 0.500
O 0.500 0.500 0.000

=====

[3]
! SrSeIO4, optimized geometry, DFT PBE; values from VASP
! - symmetry = C2/m (12)
&SYSTEM
  ibrav = 0, nat = 14, ntyp = 4
/
ATOMIC_SPECIES
Sr 87.62 Sr.upf
Se 78.96 Se.upf
I 126.90 I.upf
O 16.00 O.upf
CELL_PARAMETERS angstrom
6.165 -3.406 0.000
6.165 3.406 0.000
-1.390 0.000 7.075
ATOMIC_POSITIONS crystal
Sr 0.199 0.199 0.308
Sr 0.801 0.801 0.692
Se 0.139 0.139 0.747
Se 0.861 0.861 0.253
I 0.475 0.475 0.811
I 0.525 0.525 0.189
O 0.004 0.004 0.737
O 0.015 0.629 0.373
O 0.206 0.206 0.970
O 0.371 0.985 0.627
O 0.629 0.015 0.373
O 0.794 0.794 0.030
O 0.985 0.371 0.627
O 0.996 0.996 0.263

=====

[4]
! TaSeIO2, optimized geometry, DFT PBE; values from VASP
! - symmetry = P4/mmm (123)
! - excess energy over the best structure of this formula in the dataset (kJ/mol of formula units) = 923
&SYSTEM
  ibrav = 0, nat = 5, ntyp = 4
/
ATOMIC_SPECIES
Ta 180.95 Ta.upf
Se 78.96 Se.upf
I 126.90 I.upf
O 16.00 O.upf
CELL_PARAMETERS angstrom
3.923 0.000 0.000
0.000 3.923 0.000
0.000 0.000 5.832
ATOMIC_POSITIONS crystal
Ta 0.000 0.000 0.000
Se 0.500 0.500 0.500
I 0.500 0.500 0.000
O 0.000 0.500 0.500
O 0.500 0.000 0.500

=====

[5]
! TaSeI2O, optimized geometry, DFT PBE; values from VASP
! - symmetry = P4/mmm (123)
! - excess energy over the best structure of this formula in the dataset (kJ/mol of formula units) = 579
&SYSTEM
  ibrav = 0, nat = 5, ntyp = 4
/
ATOMIC_SPECIES
Ta 180.95 Ta.upf
Se 78.96 Se.upf
I 126.90 I.upf
O 16.00 O.upf
CELL_PARAMETERS angstrom
5.779 0.000 0.000
0.000 5.779 0.000
0.000 0.000 3.727
ATOMIC_POSITIONS crystal
Ta 0.000 0.000 0.000
Se 0.500 0.500 0.500
I 0.000 0.500 0.500
I 0.500 0.000 0.500
O 0.500 0.500 0.000

=====

[6]
! TaSeIO2, optimized geometry, DFT PBE; values from VASP
! - symmetry = P4/mmm (123)
! - excess energy over the best structure of this formula in the dataset (kJ/mol of formula units) = 0
&SYSTEM
  ibrav = 0, nat = 5, ntyp = 4
/
ATOMIC_SPECIES
Ta 180.95 Ta.upf
Se 78.96 Se.upf
I 126.90 I.upf
O 16.00 O.upf
CELL_PARAMETERS angstrom
3.971 0.000 0.000
0.000 3.971 0.000
0.000 0.000 6.248
ATOMIC_POSITIONS crystal
Ta 0.000 0.000 0.000
Se 0.500 0.500 0.500
I 0.000 0.000 0.500
O 0.000 0.500 0.000
O 0.500 0.000 0.000

=====

[7]
! TaSeI2O, optimized geometry, DFT PBE; values from VASP
! - symmetry = P4/mmm (123)
! - excess energy over the best structure of this formula in the dataset (kJ/mol of formula units) = 0
&SYSTEM
  ibrav = 0, nat = 5, ntyp = 4
/
ATOMIC_SPECIES
Ta 180.95 Ta.upf
Se 78.96 Se.upf
I 126.90 I.upf
O 16.00 O.upf
CELL_PARAMETERS angstrom
5.631 0.000 0.000
0.000 5.631 0.000
0.000 0.000 3.892
ATOMIC_POSITIONS crystal
Ta 0.000 0.000 0.000
Se 0.500 0.500 0.500
I 0.000 0.500 0.000
I 0.500 0.000 0.000
O 0.000 0.000 0.500

=====

[8]
! TcSeI2O, optimized geometry, DFT PBE; values from VASP
! - symmetry = P4/mmm (123)
! - excess energy over the best structure of this formula in the dataset (kJ/mol of formula units) = 355
&SYSTEM
  ibrav = 0, nat = 5, ntyp = 4
/
ATOMIC_SPECIES
Tc 98.00 Tc.upf
Se 78.96 Se.upf
I 126.90 I.upf
O 16.00 O.upf
CELL_PARAMETERS angstrom
5.876 0.000 0.000
0.000 5.876 0.000
0.000 0.000 3.797
ATOMIC_POSITIONS crystal
Tc 0.000 0.000 0.000
Se 0.500 0.500 0.500
I 0.000 0.500 0.500
I 0.500 0.000 0.500
O 0.500 0.500 0.000

=====

[9]
! TcSeI2O, optimized geometry, DFT PBE; values from VASP
! - symmetry = P4/mmm (123)
! - excess energy over the best structure of this formula in the dataset (kJ/mol of formula units) = 0
&SYSTEM
  ibrav = 0, nat = 5, ntyp = 4
/
ATOMIC_SPECIES
Tc 98.00 Tc.upf
Se 78.96 Se.upf
I 126.90 I.upf
O 16.00 O.upf
CELL_PARAMETERS angstrom
5.565 0.000 0.000
0.000 5.565 0.000
0.000 0.000 3.751
ATOMIC_POSITIONS crystal
Tc 0.000 0.000 0.000
Se 0.500 0.500 0.500
I 0.000 0.500 0.000
I 0.500 0.000 0.000
O 0.000 0.000 0.500

=====

[10]
! TeSeI2O, optimized geometry, DFT PBE; values from VASP
! - symmetry = P4/mmm (123)
! - excess energy over the best structure of this formula in the dataset (kJ/mol of formula units) = 0
&SYSTEM
  ibrav = 0, nat = 5, ntyp = 4
/
ATOMIC_SPECIES
Te 127.60 Te.upf
Se 78.96 Se.upf
I 126.90 I.upf
O 16.00 O.upf
CELL_PARAMETERS angstrom
6.140 0.000 0.000
0.000 6.140 0.000
0.000 0.000 4.062
ATOMIC_POSITIONS crystal
Te 0.000 0.000 0.000
Se 0.500 0.500 0.500
I 0.000 0.500 0.000
I 0.500 0.000 0.000
O 0.000 0.000 0.500

=====

[11]
! TeSeIO2, optimized geometry, DFT PBE; values from VASP
! - symmetry = P4/mmm (123)
! - excess energy over the best structure of this formula in the dataset (kJ/mol of formula units) = 0
&SYSTEM
  ibrav = 0, nat = 5, ntyp = 4
/
ATOMIC_SPECIES
Te 127.60 Te.upf
Se 78.96 Se.upf
I 126.90 I.upf
O 16.00 O.upf
CELL_PARAMETERS angstrom
4.067 0.000 0.000
0.000 4.067 0.000
0.000 0.000 7.012
ATOMIC_POSITIONS crystal
Te 0.000 0.000 0.000
Se 0.500 0.500 0.500
I 0.000 0.000 0.500
O 0.000 0.500 0.000
O 0.500 0.000 0.000

=====

[12]
! TeSeIO2, optimized geometry, DFT PBE; values from VASP
! - symmetry = P4/mmm (123)
! - excess energy over the best structure of this formula in the dataset (kJ/mol of formula units) = 206
&SYSTEM
  ibrav = 0, nat = 5, ntyp = 4
/
ATOMIC_SPECIES
Te 127.60 Te.upf
Se 78.96 Se.upf
I 126.90 I.upf
O 16.00 O.upf
CELL_PARAMETERS angstrom
4.079 0.000 0.000
0.000 4.079 0.000
0.000 0.000 7.537
ATOMIC_POSITIONS crystal
Te 0.000 0.000 0.000
Se 0.500 0.500 0.500
I 0.500 0.500 0.000
O 0.000 0.500 0.500
O 0.500 0.000 0.500

=====

[13]
! TeSeI2O, optimized geometry, DFT PBE; values from VASP
! - symmetry = P4/mmm (123)
! - excess energy over the best structure of this formula in the dataset (kJ/mol of formula units) = 7
&SYSTEM
  ibrav = 0, nat = 5, ntyp = 4
/
ATOMIC_SPECIES
Te 127.60 Te.upf
Se 78.96 Se.upf
I 126.90 I.upf
O 16.00 O.upf
CELL_PARAMETERS angstrom
6.011 0.000 0.000
0.000 6.011 0.000
0.000 0.000 3.800
ATOMIC_POSITIONS crystal
Te 0.000 0.000 0.000
Se 0.500 0.500 0.500
I 0.000 0.500 0.500
I 0.500 0.000 0.500
O 0.500 0.500 0.000

=====

[14]
! TeSeI2O, optimized geometry, DFT PBE; values from VASP
! - symmetry = P4/mmm (123)
! - excess energy over the best structure of this formula in the dataset (kJ/mol of formula units) = 396
&SYSTEM
  ibrav = 0, nat = 5, ntyp = 4
/
ATOMIC_SPECIES
Te 127.60 Te.upf
Se 78.96 Se.upf
I 126.90 I.upf
O 16.00 O.upf
CELL_PARAMETERS angstrom
5.557 0.000 0.000
0.000 5.557 0.000
0.000 0.000 5.626
ATOMIC_POSITIONS crystal
Te 0.000 0.000 0.000
Se 0.000 0.000 0.500
I 0.000 0.500 0.500
I 0.500 0.000 0.500
O 0.500 0.500 0.000

=====

[15]
! TeSeI2O, optimized geometry, DFT PBE; values from VASP
! - symmetry = P4/mmm (123)
! - excess energy over the best structure of this formula in the dataset (kJ/mol of formula units) = 183
&SYSTEM
  ibrav = 0, nat = 5, ntyp = 4
/
ATOMIC_SPECIES
Te 127.60 Te.upf
Se 78.96 Se.upf
I 126.90 I.upf
O 16.00 O.upf
CELL_PARAMETERS angstrom
5.305 0.000 0.000
0.000 5.305 0.000
0.000 0.000 4.502
ATOMIC_POSITIONS crystal
Te 0.000 0.000 0.000
Se 0.500 0.500 0.000
I 0.000 0.500 0.500
I 0.500 0.000 0.500
O 0.000 0.000 0.500

=====

[16]
! TiSeI2O, optimized geometry, DFT PBE; values from VASP
! - symmetry = P4/mmm (123)
! - excess energy over the best structure of this formula in the dataset (kJ/mol of formula units) = 499
&SYSTEM
  ibrav = 0, nat = 5, ntyp = 4
/
ATOMIC_SPECIES
Ti 47.87 Ti.upf
Se 78.96 Se.upf
I 126.90 I.upf
O 16.00 O.upf
CELL_PARAMETERS angstrom
5.803 0.000 0.000
0.000 5.803 0.000
0.000 0.000 3.811
ATOMIC_POSITIONS crystal
Ti 0.000 0.000 0.000
Se 0.500 0.500 0.500
I 0.000 0.500 0.500
I 0.500 0.000 0.500
O 0.500 0.500 0.000

=====

[17]
! TiSeI2O, optimized geometry, DFT PBE; values from VASP
! - symmetry = P4/mmm (123)
! - excess energy over the best structure of this formula in the dataset (kJ/mol of formula units) = 0
&SYSTEM
  ibrav = 0, nat = 5, ntyp = 4
/
ATOMIC_SPECIES
Ti 47.87 Ti.upf
Se 78.96 Se.upf
I 126.90 I.upf
O 16.00 O.upf
CELL_PARAMETERS angstrom
5.656 0.000 0.000
0.000 5.656 0.000
0.000 0.000 3.741
ATOMIC_POSITIONS crystal
Ti 0.000 0.000 0.000
Se 0.500 0.500 0.500
I 0.000 0.500 0.000
I 0.500 0.000 0.000
O 0.000 0.000 0.500

=====

[18]
! TlSeIO2, optimized geometry, DFT PBE; values from VASP
! - symmetry = P4/mmm (123)
! - excess energy over the best structure of this formula in the dataset (kJ/mol of formula units) = 120
&SYSTEM
  ibrav = 0, nat = 5, ntyp = 4
/
ATOMIC_SPECIES
Tl 204.38 Tl.upf
Se 78.96 Se.upf
I 126.90 I.upf
O 16.00 O.upf
CELL_PARAMETERS angstrom
4.133 0.000 0.000
0.000 4.133 0.000
0.000 0.000 8.192
ATOMIC_POSITIONS crystal
Tl 0.000 0.000 0.000
Se 0.500 0.500 0.500
I 0.000 0.000 0.500
O 0.000 0.500 0.000
O 0.500 0.000 0.000

=====

[19]
! TlSeI2O, optimized geometry, DFT PBE; values from VASP
! - symmetry = P4/mmm (123)
! - excess energy over the best structure of this formula in the dataset (kJ/mol of formula units) = 293
&SYSTEM
  ibrav = 0, nat = 5, ntyp = 4
/
ATOMIC_SPECIES
Tl 204.38 Tl.upf
Se 78.96 Se.upf
I 126.90 I.upf
O 16.00 O.upf
CELL_PARAMETERS angstrom
6.143 0.000 0.000
0.000 6.143 0.000
0.000 0.000 4.055
ATOMIC_POSITIONS crystal
Tl 0.000 0.000 0.000
Se 0.500 0.500 0.500
I 0.000 0.500 0.000
I 0.500 0.000 0.000
O 0.000 0.000 0.500

=====

[20]
! TlSeI2O, optimized geometry, DFT PBE; values from VASP
! - symmetry = P4/mmm (123)
! - excess energy over the best structure of this formula in the dataset (kJ/mol of formula units) = 0
&SYSTEM
  ibrav = 0, nat = 5, ntyp = 4
/
ATOMIC_SPECIES
Tl 204.38 Tl.upf
Se 78.96 Se.upf
I 126.90 I.upf
O 16.00 O.upf
CELL_PARAMETERS angstrom
6.132 0.000 0.000
0.000 6.132 0.000
0.000 0.000 3.888
ATOMIC_POSITIONS crystal
Tl 0.000 0.000 0.000
Se 0.500 0.500 0.500
I 0.000 0.500 0.500
I 0.500 0.000 0.500
O 0.500 0.500 0.000

=====

[21]
! TlSeIO6, optimized geometry, DFT PBE; values from VASP
! - symmetry = P1 (1)
&SYSTEM
  ibrav = 0, nat = 9, ntyp = 4
/
ATOMIC_SPECIES
Tl 204.38 Tl.upf
Se 78.96 Se.upf
I 126.90 I.upf
O 16.00 O.upf
CELL_PARAMETERS angstrom
5.154 0.000 0.000
2.533 5.218 0.000
0.019 -0.002 6.065
ATOMIC_POSITIONS crystal
Tl 0.000 0.000 0.000
Se 0.317 0.367 0.499
I 0.667 0.670 0.500
O 0.034 0.596 0.323
O 0.369 0.599 0.676
O 0.451 0.907 0.295
O 0.624 0.400 0.330
O 0.647 0.911 0.703
O 0.969 0.403 0.672

=====

[22]
! TlSeIO2, optimized geometry, DFT PBE; values from VASP
! - symmetry = P4/mmm (123)
! - excess energy over the best structure of this formula in the dataset (kJ/mol of formula units) = 0
&SYSTEM
  ibrav = 0, nat = 5, ntyp = 4
/
ATOMIC_SPECIES
Tl 204.38 Tl.upf
Se 78.96 Se.upf
I 126.90 I.upf
O 16.00 O.upf
CELL_PARAMETERS angstrom
4.250 0.000 0.000
0.000 4.250 0.000
0.000 0.000 5.878
ATOMIC_POSITIONS crystal
Tl 0.000 0.000 0.000
Se 0.500 0.500 0.500
I 0.500 0.500 0.000
O 0.000 0.500 0.500
O 0.500 0.000 0.500

=====

[23]
! Tl2SeIO6, optimized geometry, DFT PBE; values from VASP
! - symmetry = P-1 (2)
&SYSTEM
  ibrav = 0, nat = 10, ntyp = 4
/
ATOMIC_SPECIES
Tl 204.38 Tl.upf
Se 78.96 Se.upf
I 126.90 I.upf
O 16.00 O.upf
CELL_PARAMETERS angstrom
4.957 0.000 0.000
-0.002 5.564 0.000
-1.083 -2.771 5.687
ATOMIC_POSITIONS crystal
Tl 0.243 0.231 0.463
Tl 0.757 0.769 0.537
Se 0.500 0.000 0.000
I 0.000 0.500 0.000
O 0.215 0.185 0.870
O 0.216 0.685 0.870
O 0.227 0.650 0.300
O 0.773 0.350 0.700
O 0.784 0.315 0.130
O 0.785 0.815 0.130

=====

[24]
! USeI2O6, optimized geometry, DFT PBE; values from VASP
! - symmetry = P-1 (2)
&SYSTEM
  ibrav = 0, nat = 10, ntyp = 4
/
ATOMIC_SPECIES
U 238.03 U.upf
Se 78.96 Se.upf
I 126.90 I.upf
O 16.00 O.upf
CELL_PARAMETERS angstrom
4.772 0.000 0.000
-0.404 6.316 0.000
-2.325 -2.969 5.910
ATOMIC_POSITIONS crystal
U 0.000 0.000 0.000
Se 0.500 0.500 0.000
I 0.156 0.744 0.408
I 0.844 0.256 0.592
O 0.024 0.820 0.714
O 0.272 0.743 0.147
O 0.361 0.271 0.086
O 0.639 0.729 0.914
O 0.728 0.257 0.853
O 0.976 0.180 0.286

=====

[25]
! USeIO, optimized geometry, DFT PBE; values from VASP
! - symmetry = Cm (8)
&SYSTEM
  ibrav = 0, nat = 8, ntyp = 4
/
ATOMIC_SPECIES
U 238.03 U.upf
Se 78.96 Se.upf
I 126.90 I.upf
O 16.00 O.upf
CELL_PARAMETERS angstrom
6.643 0.000 0.000
0.000 3.836 0.000
-2.227 0.000 7.926
ATOMIC_POSITIONS crystal
U 0.000 0.000 0.000
U 0.500 0.500 0.000
Se 0.245 0.500 0.235
Se 0.745 0.000 0.235
I 0.062 0.500 0.688
I 0.562 0.000 0.688
O 0.325 0.000 0.975
O 0.825 0.500 0.975

=====

Number 1: formation energy without anion corrections -0.24 eV/atom. Number 2: formation energy without anion corrections -0.61 eV/atom. Number 3: formation energy without anion corrections -1.34 eV/atom. Number 4: formation energy without anion corrections 0.78 eV/atom. Number 5: formation energy without anion corrections 0.82 eV/atom. Number 6: formation energy without anion corrections -1.13 eV/atom. Number 7: formation energy without anion corrections -0.38 eV/atom. Number 8: formation energy without anion corrections 0.74 eV/atom. Number 9: formation energy without anion corrections 0.00 eV/atom. Number 10: formation energy without anion corrections 0.21 eV/atom. Number 11: formation energy without anion corrections -0.13 eV/atom. Number 12: formation energy without anion corrections 0.29 eV/atom. Number 13: formation energy without anion corrections 0.22 eV/atom. Number 14: formation energy without anion corrections 1.03 eV/atom. Number 15: formation energy without anion corrections 0.59 eV/atom. Number 16: formation energy without anion corrections 0.36 eV/atom. Number 17: formation energy without anion corrections -0.67 eV/atom. Number 18: formation energy without anion corrections 0.32 eV/atom. Number 19: formation energy without anion corrections 0.36 eV/atom. Number 20: formation energy without anion corrections -0.24 eV/atom. Number 21: formation energy without anion corrections -0.42 eV/atom. Number 22: formation energy without anion corrections 0.07 eV/atom. Number 23: formation energy without anion corrections -0.40 eV/atom. Number 24: formation energy without anion corrections -1.21 eV/atom. Number 25: formation energy without anion corrections -1.68 eV/atom.